(1)
VASP calculation (PBE) on a relaxed RbNbB2O6 crystal.

Cell: 6.6740 6.6740 6.6740 Å, 45.88 45.88 45.88°
Atoms (fractional coordinates):
1 Rb 0.0000 0.0000 0.0000
2 Nb 0.5000 0.5000 0.5000
3 B 0.2306 0.2306 0.2306
4 B 0.7694 0.7694 0.7694
5 O 0.0737 0.6254 0.6052
6 O 0.3746 0.3948 0.9263
7 O 0.3948 0.9263 0.3746
8 O 0.6052 0.0737 0.6254
9 O 0.6254 0.6052 0.0737
10 O 0.9263 0.3746 0.3948

(2)
VASP calculation (PBE) on a relaxed RbNbB2O6 crystal.

Cell: 7.5609 20.2733 12.2704 Å, 90.00 128.04 90.00°
Atoms (fractional coordinates):
1 Rb 0.0000 0.0069 0.0000
2 Rb 0.0000 0.9931 0.5000
3 Rb 0.0014 0.1931 0.4992
4 Rb 0.0014 0.8069 0.9992
5 Rb 0.0019 0.2068 0.0015
6 Rb 0.0019 0.7932 0.5015
7 Rb 0.0032 0.4068 0.0018
8 Rb 0.0032 0.5932 0.5018
9 Rb 0.9989 0.3931 0.5005
10 Rb 0.9989 0.6069 0.0005
11 Nb 0.3879 0.3324 0.8959
12 Nb 0.3879 0.6676 0.3959
13 Nb 0.3920 0.0681 0.3948
14 Nb 0.3920 0.9319 0.8948
15 Nb 0.3941 0.2679 0.3957
16 Nb 0.3941 0.7321 0.8957
17 Nb 0.4024 0.4676 0.3962
18 Nb 0.4024 0.5324 0.8962
19 Nb 0.4036 0.1321 0.8949
20 Nb 0.4036 0.8679 0.3949
21 B 0.5056 0.0987 0.1782
22 B 0.5064 0.3055 0.6807
23 B 0.5064 0.6945 0.1807
24 B 0.5056 0.9013 0.6782
25 B 0.5229 0.2940 0.1859
26 B 0.5229 0.7060 0.6859
27 B 0.5254 0.4990 0.6847
28 B 0.5254 0.5010 0.1847
29 B 0.5358 0.1023 0.6873
30 B 0.5358 0.8977 0.1873
31 B 0.8411 0.3001 0.6865
32 B 0.8411 0.6999 0.1865
33 B 0.8439 0.0953 0.1871
34 B 0.8439 0.9047 0.6871
35 B 0.8479 0.3005 0.1815
36 B 0.8479 0.6995 0.6815
37 B 0.8536 0.4937 0.1838
38 B 0.8536 0.5063 0.6838
39 B 0.8555 0.1036 0.6778
40 B 0.8555 0.8964 0.1778
41 O 0.0589 0.0722 0.2641
42 O 0.0591 0.3196 0.7610
43 O 0.0591 0.6804 0.2610
44 O 0.0589 0.9278 0.7641
45 O 0.0686 0.2846 0.2527
46 O 0.0686 0.7154 0.7527
47 O 0.0698 0.4717 0.2582
48 O 0.0698 0.5283 0.7582
49 O 0.0753 0.1208 0.7486
50 O 0.0753 0.8792 0.2486
51 O 0.3579 0.2860 0.5462
52 O 0.3579 0.7140 0.0462
53 O 0.3627 0.1184 0.0435
54 O 0.3627 0.8816 0.5435
55 O 0.3688 0.3164 0.0542
56 O 0.3688 0.6836 0.5542
57 O 0.3721 0.1786 0.3955
58 O 0.3721 0.8214 0.8954
59 O 0.3789 0.4220 0.8971
60 O 0.3789 0.5780 0.3971
61 O 0.3806 0.4752 0.5534
62 O 0.3806 0.5248 0.0534
63 O 0.3836 0.0772 0.5578
64 O 0.3836 0.9228 0.0578
65 O 0.4011 0.2217 0.8963
66 O 0.4011 0.7783 0.3963
67 O 0.4085 0.0214 0.8948
68 O 0.4085 0.9786 0.3948
69 O 0.4219 0.3782 0.3964
70 O 0.4219 0.6218 0.8964
71 O 0.4252 0.0834 0.2485
72 O 0.4252 0.9166 0.7485
73 O 0.4336 0.3255 0.7533
74 O 0.4336 0.6745 0.2533
75 O 0.4509 0.4836 0.2572
76 O 0.4509 0.5164 0.7572
77 O 0.4597 0.2708 0.2618
78 O 0.4597 0.7292 0.7618
79 O 0.4725 0.1242 0.7637
80 O 0.4725 0.8758 0.2637
81 O 0.7253 0.3224 0.0486
82 O 0.7253 0.6776 0.5486
83 O 0.7291 0.2752 0.5563
84 O 0.7291 0.7248 0.0563
85 O 0.7299 0.0848 0.5427
86 O 0.7299 0.9152 0.0427
87 O 0.7384 0.0917 0.2498
88 O 0.7384 0.1193 0.0569
89 O 0.7384 0.8807 0.5569
90 O 0.7384 0.9083 0.7498
91 O 0.7390 0.4855 0.5505
92 O 0.7390 0.5145 0.0505
93 O 0.7398 0.3080 0.7510
94 O 0.7398 0.6920 0.2510
95 O 0.7549 0.2919 0.2509
96 O 0.7549 0.7081 0.7509
97 O 0.7562 0.4920 0.2515
98 O 0.7562 0.5080 0.7515
99 O 0.7661 0.1080 0.7499
100 O 0.7661 0.8920 0.2499

Short version: (2), (1), most stable first.

(1)
VASP calculation (PBE) on a relaxed NbB3Os crystal.

Cell: 4.0471 4.0471 4.0471 Å, 90.00 90.00 90.00°
Atoms (fractional coordinates):
1 Nb 0.0000 0.0000 0.0000
2 B 0.0000 0.0000 0.5000
3 B 0.0000 0.5000 0.0000
4 B 0.5000 0.0000 0.0000
5 Os 0.5000 0.5000 0.5000

(2)
VASP calculation (PBE) on a relaxed NbB3Os crystal.

Cell: 3.9983 3.9983 3.9983 Å, 90.00 90.00 90.00°
Atoms (fractional coordinates):
1 Nb 0.0000 0.0000 0.0000
2 B 0.0000 0.5000 0.5000
3 B 0.5000 0.0000 0.5000
4 B 0.5000 0.5000 0.0000
5 Os 0.5000 0.5000 0.5000

Short version: (2), (1), most stable first.

(1)
VASP calculation (PBE) on a relaxed NbBOs3 crystal.

Cell: 4.7790 4.7790 4.7790 Å, 90.00 90.00 90.00°
Atoms (fractional coordinates):
1 Nb 0.0000 0.0000 0.0000
2 B 0.5000 0.5000 0.5000
3 Os 0.0000 0.0000 0.5000
4 Os 0.0000 0.5000 0.0000
5 Os 0.5000 0.0000 0.0000

(2)
VASP calculation (PBE) on a relaxed NbBOs3 crystal.

Cell: 4.1081 4.1081 4.1081 Å, 90.00 90.00 90.00°
Atoms (fractional coordinates):
1 Nb 0.0000 0.0000 0.0000
2 B 0.5000 0.5000 0.5000
3 Os 0.0000 0.5000 0.5000
4 Os 0.5000 0.0000 0.5000
5 Os 0.5000 0.5000 0.0000

Short version: (2), (1), most stable first.

(1)
VASP calculation (PBE) on a relaxed Nb2B2Os crystal.

Cell: 5.4550 5.4550 5.4550 Å, 140.37 140.37 57.29°
Atoms (fractional coordinates):
1 Nb 0.2500 0.7500 0.5000
2 Nb 0.7500 0.2500 0.5000
3 B 0.0830 0.0830 0.0000
4 B 0.9170 0.9170 0.0000
5 Os 0.5000 0.5000 0.0000

(2)
VASP calculation (PBE) on a relaxed Nb2B2Os crystal.

Cell: 5.8846 5.8846 3.5139 Å, 90.00 90.00 90.00°
Atoms (fractional coordinates):
1 Nb 0.1755 0.3245 0.0000
2 Nb 0.3245 0.8245 0.0000
3 Nb 0.6755 0.1755 0.0000
4 Nb 0.8245 0.6755 0.0000
5 B 0.1146 0.6146 0.5000
6 B 0.3854 0.1146 0.5000
7 B 0.6146 0.8854 0.5000
8 B 0.8854 0.3854 0.5000
9 Os 0.0000 0.0000 0.5000
10 Os 0.5000 0.5000 0.5000

(3)
VASP calculation (PBE) on a relaxed Nb2B2Os crystal.

Cell: 5.9276 5.9276 6.9195 Å, 90.00 90.00 90.00°
Atoms (fractional coordinates):
1 Nb 0.1644 0.3141 0.0000
2 Nb 0.1859 0.3356 0.5000
3 Nb 0.3141 0.8356 0.0000
4 Nb 0.3356 0.8141 0.5000
5 Nb 0.6644 0.1859 0.5000
6 Nb 0.6859 0.1644 0.0000
7 Nb 0.8141 0.6644 0.5000
8 Nb 0.8356 0.6859 0.0000
9 B 0.1138 0.6138 0.2500
10 B 0.1138 0.6138 0.7500
11 B 0.3862 0.1138 0.2500
12 B 0.3862 0.1138 0.7500
13 B 0.6138 0.8862 0.2500
14 B 0.6138 0.8862 0.7500
15 B 0.8862 0.3862 0.2500
16 B 0.8862 0.3862 0.7500
17 Os 0.0000 0.0000 0.2788
18 Os 0.0000 0.0000 0.7212
19 Os 0.5000 0.5000 0.2212
20 Os 0.5000 0.5000 0.7788

Short version: (3), (2), (1), most stable first.

(1)
VASP calculation (PBE) on a relaxed PaNbB4 crystal.

Cell: 6.0607 11.7286 3.7857 Å, 90.00 90.00 90.00°
Atoms (fractional coordinates):
1 Pa 0.1263 0.1511 0.0000
2 Pa 0.3737 0.6511 0.0000
3 Pa 0.6263 0.3489 0.0000
4 Pa 0.8737 0.8489 0.0000
5 Nb 0.1344 0.4126 0.0000
6 Nb 0.3656 0.9126 0.0000
7 Nb 0.6344 0.0874 0.0000
8 Nb 0.8656 0.5874 0.0000
9 B 0.0258 0.6934 0.5000
10 B 0.1150 0.5472 0.5000
11 B 0.1323 0.9684 0.5000
12 B 0.2083 0.8129 0.5000
13 B 0.2917 0.3129 0.5000
14 B 0.3677 0.4684 0.5000
15 B 0.3850 0.0472 0.5000
16 B 0.4742 0.1934 0.5000
17 B 0.5258 0.8066 0.5000
18 B 0.6150 0.9528 0.5000
19 B 0.6323 0.5316 0.5000
20 B 0.7083 0.6871 0.5000
21 B 0.7917 0.1871 0.5000
22 B 0.8677 0.0316 0.5000
23 B 0.8850 0.4528 0.5000
24 B 0.9742 0.3066 0.5000

(2)
VASP calculation (PBE) on a relaxed PaNbB4 crystal.

Cell: 4.6653 4.6653 4.6653 Å, 60.00 60.00 60.00°
Atoms (fractional coordinates):
1 Pa 0.0000 0.0000 0.0000
2 Nb 0.2500 0.2500 0.2500
3 B 0.2120 0.5960 0.5960
4 B 0.5960 0.2120 0.5960
5 B 0.5960 0.5960 0.2120
6 B 0.5960 0.5960 0.5960

Short version: (1), (2), most stable first.

(1)
VASP calculation (PBE) on a relaxed NbBPb3 crystal.

Cell: 5.0024 5.0024 5.0024 Å, 90.00 90.00 90.00°
Atoms (fractional coordinates):
1 Nb 0.0000 0.0000 0.0000
2 B 0.5000 0.5000 0.5000
3 Pb 0.0000 0.5000 0.5000
4 Pb 0.5000 0.0000 0.5000
5 Pb 0.5000 0.5000 0.0000

(2)
VASP calculation (PBE) on a relaxed NbBPb3 crystal.

Cell: 5.5087 5.5087 5.5087 Å, 90.00 90.00 90.00°
Atoms (fractional coordinates):
1 Nb 0.0000 0.0000 0.0000
2 B 0.5000 0.5000 0.5000
3 Pb 0.0000 0.0000 0.5000
4 Pb 0.0000 0.5000 0.0000
5 Pb 0.5000 0.0000 0.0000

Short version: (1), (2), most stable first.

(1)
VASP calculation (PBE) on a relaxed Nb2BPb crystal.

Cell: 5.7310 5.7310 5.7310 Å, 105.38 105.38 118.01°
Atoms (fractional coordinates):
1 Nb 0.0519 0.6250 0.9269
2 Nb 0.3750 0.3019 0.4269
3 Nb 0.6981 0.1250 0.0731
4 Nb 0.8750 0.9481 0.5731
5 B 0.0000 0.0000 0.0000
6 B 0.7500 0.2500 0.5000
7 Pb 0.2500 0.7500 0.5000
8 Pb 0.5000 0.5000 0.0000

(2)
VASP calculation (PBE) on a relaxed Nb2BPb crystal.

Cell: 4.5882 4.5882 4.5882 Å, 60.00 60.00 60.00°
Atoms (fractional coordinates):
1 Nb 0.2500 0.2500 0.2500
2 Nb 0.7500 0.7500 0.7500
3 B 0.0000 0.0000 0.0000
4 Pb 0.5000 0.5000 0.5000

Short version: (1), (2), most stable first.

(1)
VASP calculation (PBE) on a relaxed NbB2Pd crystal.

Cell: 4.0119 4.0119 4.0119 Å, 60.00 60.00 60.00°
Atoms (fractional coordinates):
1 Nb 0.0000 0.0000 0.0000
2 B 0.2500 0.2500 0.2500
3 B 0.7500 0.7500 0.7500
4 Pd 0.5000 0.5000 0.5000

(2)
VASP calculation (PBE) on a relaxed NbB2Pd crystal.

Cell: 7.7587 7.7587 7.7587 Å, 151.61 151.61 40.59°
Atoms (fractional coordinates):
1 Nb 0.0000 0.0000 0.0000
2 Nb 0.7500 0.2500 0.5000
3 B 0.3717 0.6250 0.2467
4 B 0.3750 0.6217 0.7467
5 B 0.3783 0.1250 0.7533
6 B 0.8750 0.6283 0.2533
7 Pd 0.2500 0.7500 0.5000
8 Pd 0.5000 0.5000 0.0000

Short version: (1), (2), most stable first.

(1)
VASP calculation (PBE) on a relaxed NbB3Pd crystal.

Cell: 3.9932 3.9932 3.9932 Å, 90.00 90.00 90.00°
Atoms (fractional coordinates):
1 Nb 0.0000 0.0000 0.0000
2 B 0.0000 0.5000 0.5000
3 B 0.5000 0.0000 0.5000
4 B 0.5000 0.5000 0.0000
5 Pd 0.5000 0.5000 0.5000

(2)
VASP calculation (PBE) on a relaxed NbB3Pd crystal.

Cell: 4.2137 4.2137 4.2137 Å, 90.00 90.00 90.00°
Atoms (fractional coordinates):
1 Nb 0.0000 0.0000 0.0000
2 B 0.0000 0.0000 0.5000
3 B 0.0000 0.5000 0.0000
4 B 0.5000 0.0000 0.0000
5 Pd 0.5000 0.5000 0.5000

Short version: (1), (2), most stable first.